# 1
Below is an optimized crystal structure of Rb2NaHBr6, with properties calculated at the GGA-PBE level.

The structure belongs to space group I4/mmm (No. 139); the cell edges are 7.150, 7.150 and 13.187 Å and the angles 90.00°, 90.00° and 90.00°. The asymmetric unit holds Rb at (0.000, 0.500, 0.250), Na at (0.000, 0.000, 0.000), H at (0.000, 0.000, 0.500), Br at (0.000, 0.000, 0.217) and Br at (0.211, 0.211, 0.500).

The value obtained for the density of states at the Fermi level is 0.98 states/eV/atom. The value obtained for the final energy is -2.38 eV per atom.

***

# 2
Below is an optimized crystal structure of Na2HSBr, with properties calculated at the GGA-PBE level.

The structure belongs to space group P2_1/m (No. 11); the cell edges are 6.039, 4.357 and 8.191 Å and the angles 90.00°, 96.67° and 90.00°. The asymmetric unit holds Na at (0.212, 0.250, 0.364), Na at (0.264, 0.250, 0.896), H at (0.381, 0.750, 0.258), S at (0.230, 0.750, 0.122) and Br at (0.272, 0.750, 0.626).

The value obtained for the density of states at the Fermi level is 0.00 states/eV/atom. The value obtained for the final energy is -3.39 eV per atom.